[1]
! Ba2Br (PBEsol, optimized geometry); values from VASP
! SG: Cmcm, No. 63
! N(E_F): 6.67 states/eV/cell
! relative energy among the computed polymorphs: 0.1134 eV/atom
&SYSTEM
  ibrav = 0, nat = 6, ntyp = 2
/
ATOMIC_SPECIES
Ba 137.33 Ba.upf
Br 79.90 Br.upf
CELL_PARAMETERS angstrom
-3.3241 2.0053 0.7403
-2.7155 -4.8840 1.0362
4.3240 -0.3321 9.7659
ATOMIC_POSITIONS angstrom
Ba -1.9386 -0.1170 2.1611
Br -1.7137 -3.5816 2.0067
Ba 0.8764 -0.8292 6.1811
Ba 0.2230 -3.0938 9.3814
Br -0.0019 0.3709 9.5358
Ba -2.5920 -2.3816 5.3613

***

[2]
! Ba3Br (PBEsol, optimized geometry); values from VASP
! SG: P-6m2, No. 187
! N(E_F): 5.37 states/eV/cell
! relative energy among the computed polymorphs: 0.0148 eV/atom
&SYSTEM
  ibrav = 0, nat = 4, ntyp = 2
/
ATOMIC_SPECIES
Ba 137.33 Ba.upf
Br 79.90 Br.upf
CELL_PARAMETERS angstrom
-0.9522 1.7431 -3.8299
3.1887 -2.8882 0.3227
-7.8178 -8.8650 -2.0911
ATOMIC_POSITIONS angstrom
Ba 1.8084 -1.3444 -1.0615
Ba -5.4743 -6.2076 -1.4642
Ba -2.3435 -2.6574 -0.6268
Br -2.1005 -5.7769 -2.1070

***

[3]
! Ba3Br (PBEsol, optimized geometry); values from VASP
! SG: R-3m, No. 166
! N(E_F): 5.19 states/eV/cell
! relative energy among the computed polymorphs: 0.0000 eV/atom
&SYSTEM
  ibrav = 0, nat = 4, ntyp = 2
/
ATOMIC_SPECIES
Ba 137.33 Ba.upf
Br 79.90 Br.upf
CELL_PARAMETERS angstrom
4.3682 0.0000 0.0000
2.1841 3.7829 0.0000
2.1841 1.2610 11.8563
ATOMIC_POSITIONS angstrom
Ba 4.3682 2.5220 5.9281
Ba 6.5522 3.7829 9.5835
Br 0.0000 0.0000 0.0000
Ba 2.1841 1.2610 2.2728

***

[4]
! Ba2Br (PBEsol, optimized geometry); values from VASP
! SG: Cmcm, No. 63
! N(E_F): 7.31 states/eV/cell
! relative energy among the computed polymorphs: 0.0000 eV/atom
&SYSTEM
  ibrav = 0, nat = 6, ntyp = 2
/
ATOMIC_SPECIES
Br 79.90 Br.upf
Ba 137.33 Ba.upf
CELL_PARAMETERS angstrom
-2.6342 2.5914 -2.3185
0.3182 -4.3026 -5.1705
-5.9439 -5.7558 4.4239
ATOMIC_POSITIONS angstrom
Br -4.1402 -5.9167 -1.9091
Ba -4.8360 -4.0951 0.9175
Br -4.1197 -1.5504 -1.1560
Ba -7.4922 -5.8709 -2.1534
Ba -0.7677 -1.5961 -0.9117
Ba -3.4239 -3.3720 -3.9826

***

[5]
! BaBr8 (PBEsol, optimized geometry); values from VASP
! SG: I4/mmm, No. 139
! VASP energy: -20.23 eV/f.u.
! N(E_F): 7.98 states/eV/cell
&SYSTEM
  ibrav = 0, nat = 9, ntyp = 2
/
ATOMIC_SPECIES
Br 79.90 Br.upf
Ba 137.33 Ba.upf
CELL_PARAMETERS angstrom
4.1888 0.0000 0.0000
2.0944 8.7704 0.0000
2.0944 0.0000 8.7704
ATOMIC_POSITIONS angstrom
Br 2.0944 0.0000 2.7307
Br 4.1888 2.1948 2.1948
Br 4.1888 0.0000 6.0396
Br 2.0944 2.7307 0.0000
Br 2.0944 6.5756 2.1948
Br 4.1888 6.0396 0.0000
Ba 0.0000 0.0000 0.0000
Br 2.0944 2.1948 6.5756
Br 4.1888 6.5756 6.5756

***

[6]
! Ba3Br (PBEsol, optimized geometry); values from VASP
! SG: Imm2, No. 44
! N(E_F): 5.93 states/eV/cell
! relative energy among the computed polymorphs: 0.0983 eV/atom
&SYSTEM
  ibrav = 0, nat = 4, ntyp = 2
/
ATOMIC_SPECIES
Ba 137.33 Ba.upf
Br 79.90 Br.upf
CELL_PARAMETERS angstrom
-0.1258 2.7296 3.1633
2.6527 -5.3278 4.7028
4.6765 3.0963 -5.2476
ATOMIC_POSITIONS angstrom
Ba 2.4361 -3.6541 6.0119
Br 0.7619 -1.5302 1.3507
Ba 3.6479 1.2955 -0.9728
Ba 3.3895 -0.4640 3.2970

***

[7]
! BaC2Br (PBEsol, optimized geometry); values from VASP
! SG: I-42d, No. 122
! VASP energy: -15.87 eV/f.u.
! N(E_F): 4.33 states/eV/cell
&SYSTEM
  ibrav = 0, nat = 8, ntyp = 3
/
ATOMIC_SPECIES
C 12.01 C.upf
Ba 137.33 Ba.upf
Br 79.90 Br.upf
CELL_PARAMETERS angstrom
-2.8991 0.6890 -4.9873
-2.4521 -4.0819 3.3284
-0.0606 4.8655 3.1743
ATOMIC_POSITIONS angstrom
C -2.4981 1.1652 1.7323
C -3.5830 2.8738 -0.7849
Ba 0.0000 0.0000 0.0000
C -2.4570 -1.2053 3.9258
Br -2.1080 2.9731 0.7191
C -2.2856 0.1115 -1.8426
Br -1.2564 0.3918 3.2513
Ba -3.3038 -1.5005 0.7962

***

[8]
! Ba2PCBr (PBEsol, optimized geometry); values from VASP
! SG: P4/mmm, No. 123
! VASP energy: -19.53 eV/f.u.
! N(E_F): 2.89 states/eV/cell
&SYSTEM
  ibrav = 0, nat = 5, ntyp = 4
/
ATOMIC_SPECIES
Ba 137.33 Ba.upf
C 12.01 C.upf
P 30.97 P.upf
Br 79.90 Br.upf
CELL_PARAMETERS angstrom
4.0291 0.0000 0.0000
0.0000 6.0195 0.0000
0.0000 0.0000 6.0195
ATOMIC_POSITIONS angstrom
Ba 0.0000 3.0098 0.0000
C 2.0146 0.0000 0.0000
P 2.0146 3.0098 3.0098
Ba 0.0000 0.0000 3.0098
Br 0.0000 0.0000 0.0000

***

[9]
! BaCSe2Br (PBEsol, optimized geometry); values from VASP
! SG: P4/mmm, No. 123
! VASP energy: -21.85 eV/f.u.
! N(E_F): 1.75 states/eV/cell
&SYSTEM
  ibrav = 0, nat = 5, ntyp = 4
/
ATOMIC_SPECIES
Se 78.96 Se.upf
Br 79.90 Br.upf
Ba 137.33 Ba.upf
C 12.01 C.upf
CELL_PARAMETERS angstrom
-0.1843 -4.3938 -1.1126
-0.7318 -1.0700 4.3471
-5.2679 0.4193 -0.7836
ATOMIC_POSITIONS angstrom
Se -0.0921 -2.1969 -0.5563
Br -2.6340 0.2097 -0.3918
Se -0.3659 -0.5350 2.1735
Ba -3.0920 -2.5223 1.2255
C 0.0000 0.0000 0.0000

***

[10]
! BaTeC2Br (PBEsol, optimized geometry); values from VASP
! SG: P4/mmm, No. 123
! VASP energy: -14.72 eV/f.u.
! N(E_F): 4.08 states/eV/cell
&SYSTEM
  ibrav = 0, nat = 5, ntyp = 4
/
ATOMIC_SPECIES
C 12.01 C.upf
Te 127.60 Te.upf
Ba 137.33 Ba.upf
Br 79.90 Br.upf
CELL_PARAMETERS angstrom
4.9472 0.0000 0.0000
0.0000 4.9472 0.0000
0.0000 0.0000 7.0245
ATOMIC_POSITIONS angstrom
C 0.0000 2.4736 0.0000
Te 0.0000 0.0000 3.5122
Ba 0.0000 0.0000 0.0000
C 2.4736 0.0000 0.0000
Br 2.4736 2.4736 3.5122

***

[11]
! Ba2CaBr (PBEsol, optimized geometry); values from VASP
! SG: I4/mmm, No. 139
! VASP energy: -9.67 eV/f.u.
! N(E_F): 5.78 states/eV/cell
&SYSTEM
  ibrav = 0, nat = 4, ntyp = 3
/
ATOMIC_SPECIES
Ba 137.33 Ba.upf
Ca 40.08 Ca.upf
Br 79.90 Br.upf
CELL_PARAMETERS angstrom
5.5855 0.0000 0.0000
0.0000 5.5855 0.0000
-2.7927 -2.7927 5.6984
ATOMIC_POSITIONS angstrom
Ba 2.7927 0.0000 2.8492
Ba 0.0000 2.7927 2.8492
Ca 0.0000 0.0000 0.0000
Br 2.7927 2.7927 0.0000

***

[12]
! BaCaCoBr2 (PBEsol, optimized geometry); values from VASP
! SG: P4/mmm, No. 123
! VASP energy: -18.64 eV/f.u.
! N(E_F): 3.25 states/eV/cell
&SYSTEM
  ibrav = 0, nat = 5, ntyp = 4
/
ATOMIC_SPECIES
Co 58.93 Co.upf
Ca 40.08 Ca.upf
Br 79.90 Br.upf
Ba 137.33 Ba.upf
CELL_PARAMETERS angstrom
-2.5708 4.4520 -0.4193
-3.1909 -2.2027 -3.8223
-3.4782 -1.6457 3.8520
ATOMIC_POSITIONS angstrom
Co -1.2854 2.2260 -0.2097
Ca 0.0000 0.0000 0.0000
Br -1.5955 -1.1013 -1.9112
Br -1.7391 -0.8228 1.9260
Ba -4.6200 0.3018 -0.1948

***

no.,spin magnetization (μB per cell)
1,0.00
2,0.00
3,0.00
4,0.01
5,0.00
6,0.01
7,0.00
8,0.00
9,0.00
10,3.75
11,0.27
12,1.05